PBE with a Hubbard U SrCoAs2O6, relaxed; uncorrected energy = -59.507 eV per cell; V = 14.380 Å³/atom; SG = No. 148
1.0
-1.211 5.336 -0.456
-1.110 2.957 4.492
4.566 4.019 1.839
Sr Co As O
1 1 2 6
direct
0.000 0.000 0.000
0.500 0.500 0.500
0.733 0.733 0.800
0.267 0.267 0.200
0.086 0.476 0.714
0.724 0.086 0.714
0.524 0.276 0.286
0.914 0.524 0.286
0.276 0.914 0.286
0.476 0.724 0.714